Density functional theory data (PBE) for PdAuBr after structural relaxation.

Lattice parameters (Å, degrees): 11.0276 3.4453 7.1986 90.00 90.00 90.00
Sites, in units of the cell vectors:
Pd: 0.0000 0.0000 0.0000
Pd: 0.0000 0.5000 0.5000
Pd: 0.5000 0.0000 0.0082
Pd: 0.5000 0.5000 0.5082
Au: 0.1419 0.0000 0.2964
Au: 0.1419 0.5000 0.7964
Au: 0.8581 0.0000 0.2964
Au: 0.8581 0.5000 0.7964
Br: 0.3339 0.0000 0.5299
Br: 0.3339 0.5000 0.0299
Br: 0.6661 0.0000 0.5299
Br: 0.6661 0.5000 0.0299

## Properties
Uncorrected formation energy ... 0.1738 eV per atom
Electronic total energy ... -0.11786 Ha/atom
Calculated volume ... 22.79 A^3/atom
SG ... Amm2, No. 38